w) ## Tb3Pm3In (PBE-GGA)

Data for a relaxed Tb3Pm3In crystal.

abc: 13.4892 5.2330 12.8323
angles: 90.00 90.00 90.00
Closest atoms and distances in Å follow each position.
Atoms (fractional coordinates):
1 Tb 0.0178 0.2500 0.0671  3 In 3.16-3.26, 2 Tb 3.17, 3 Pm 3.23-3.54
2 Tb 0.0554 0.2500 0.5705  1 In 3.15, 1 Pm 3.39, 2 Tb 3.52
3 Tb 0.2265 0.7500 0.4377  1 In 3.36, 4 Pm 3.62-3.70
4 Tb 0.2735 0.2500 0.9377  1 In 3.36, 4 Pm 3.62-3.70
5 Tb 0.4446 0.7500 0.0705  1 In 3.15, 1 Pm 3.39, 2 Tb 3.52
6 Tb 0.4822 0.7500 0.5671  3 In 3.16-3.26, 2 Tb 3.17, 3 Pm 3.23-3.54
7 Tb 0.5178 0.2500 0.4329  3 In 3.16-3.26, 2 Tb 3.17, 3 Pm 3.23-3.54
8 Tb 0.5554 0.2500 0.9295  1 In 3.15, 1 Pm 3.39, 2 Tb 3.52
9 Tb 0.7265 0.7500 0.0623  1 In 3.36, 4 Pm 3.62-3.70
10 Tb 0.7735 0.2500 0.5623  1 In 3.36, 4 Pm 3.62-3.70
11 Tb 0.9446 0.7500 0.4295  1 In 3.15, 1 Pm 3.39, 2 Tb 3.52
12 Tb 0.9822 0.7500 0.9329  3 In 3.16-3.26, 2 Tb 3.17, 3 Pm 3.23-3.54
13 Pm 0.0873 0.2500 0.3083  4 Tb 3.23-3.60, 2 Pm 3.33-3.61, 2 In 3.60
14 Pm 0.1779 0.7500 0.7282  2 In 3.31, 4 Pm 3.33-3.61, 2 Tb 3.70
15 Pm 0.1873 0.7500 0.1203  1 In 3.34, 2 Pm 3.47, 6 Tb 3.53-3.70
16 Pm 0.3127 0.2500 0.6203  1 In 3.34, 2 Pm 3.47, 6 Tb 3.53-3.70
17 Pm 0.3221 0.2500 0.2282  2 In 3.31, 4 Pm 3.33-3.61, 2 Tb 3.70
18 Pm 0.4127 0.7500 0.8083  4 Tb 3.23-3.60, 2 Pm 3.33-3.61, 2 In 3.60
19 Pm 0.5873 0.2500 0.1917  4 Tb 3.23-3.60, 2 Pm 3.33-3.61, 2 In 3.60
20 Pm 0.6779 0.7500 0.7718  2 In 3.31, 4 Pm 3.33-3.61, 2 Tb 3.70
21 Pm 0.6873 0.7500 0.3797  1 In 3.34, 2 Pm 3.47, 6 Tb 3.53-3.70
22 Pm 0.8127 0.2500 0.8797  1 In 3.34, 2 Pm 3.47, 6 Tb 3.53-3.70
23 Pm 0.8221 0.2500 0.2718  2 In 3.31, 4 Pm 3.33-3.61, 2 Tb 3.70
24 Pm 0.9127 0.7500 0.6917  4 Tb 3.23-3.60, 2 Pm 3.33-3.61, 2 In 3.60
25 In 0.0528 0.2500 0.8160  5 Tb 3.15-3.36, 3 Pm 3.31-3.34
26 In 0.4472 0.7500 0.3160  5 Tb 3.15-3.36, 3 Pm 3.31-3.34
27 In 0.5528 0.2500 0.6840  5 Tb 3.15-3.36, 3 Pm 3.31-3.34
28 In 0.9472 0.7500 0.1840  5 Tb 3.15-3.36, 3 Pm 3.31-3.34

***

x) ## Tb3Pm3In (PBE-GGA)

Data for a relaxed Tb3Pm3In crystal.

abc: 9.4940 9.4940 5.6356
angles: 90.00 90.00 120.00
Closest atoms and distances in Å follow each position.
Atoms (fractional coordinates):
1 Tb 0.0614 0.2400 0.2500  6 Tb 3.49-3.55, 5 Pm 3.50-3.74, 1 In 3.55
2 Tb 0.1786 0.9386 0.2500  6 Tb 3.49-3.55, 5 Pm 3.50-3.74, 1 In 3.55
3 Tb 0.2400 0.1786 0.7500  6 Tb 3.49-3.55, 5 Pm 3.50-3.74, 1 In 3.55
4 Tb 0.7600 0.8214 0.2500  6 Tb 3.49-3.55, 5 Pm 3.50-3.74, 1 In 3.55
5 Tb 0.8214 0.0614 0.7500  6 Tb 3.49-3.55, 5 Pm 3.50-3.74, 1 In 3.55
6 Tb 0.9386 0.7600 0.7500  6 Tb 3.49-3.55, 5 Pm 3.50-3.74, 1 In 3.55
7 Pm 0.1063 0.4773 0.7500  3 In 3.46-3.69, 4 Pm 3.47-3.62, 5 Tb 3.50-3.74
8 Pm 0.3710 0.8937 0.7500  3 In 3.46-3.69, 4 Pm 3.47-3.62, 5 Tb 3.50-3.74
9 Pm 0.4773 0.3710 0.2500  3 In 3.46-3.69, 4 Pm 3.47-3.62, 5 Tb 3.50-3.74
10 Pm 0.5227 0.6290 0.7500  3 In 3.46-3.69, 4 Pm 3.47-3.62, 5 Tb 3.50-3.74
11 Pm 0.6290 0.1063 0.2500  3 In 3.46-3.69, 4 Pm 3.47-3.62, 5 Tb 3.50-3.74
12 Pm 0.8937 0.5227 0.2500  3 In 3.46-3.69, 4 Pm 3.47-3.62, 5 Tb 3.50-3.74
13 In 0.3333 0.6667 0.2500  9 Pm 3.46-3.69, 3 Tb 3.55
14 In 0.6667 0.3333 0.7500  9 Pm 3.46-3.69, 3 Tb 3.55

***

How far above the most stable structure does each one sit? In meV per atom: w) 87; x) 0.

***

w) ## TbPmIn4 (PBE-GGA)

Data for a relaxed TbPmIn4 crystal.

abc: 6.0350 6.0350 6.0350
angles: 60.00 60.00 60.00
Closest atoms and distances in Å follow each position.
Atoms (fractional coordinates):
1 Tb 0.0000 0.0000 0.0000  12 In 3.54, 4 Pm 3.70
2 Pm 0.7500 0.7500 0.7500  12 In 3.54, 4 Tb 3.70
3 In 0.3750 0.3750 0.3750  6 In 3.02
4 In 0.3750 0.3750 0.8751  6 In 3.02
5 In 0.3750 0.8751 0.3750  6 In 3.02
6 In 0.8751 0.3750 0.3750  6 In 3.02

***

x) ## TbPmIn4 (PBE-GGA)

Data for a relaxed TbPmIn4 crystal.

abc: 6.3309 6.3309 6.3309
angles: 136.21 108.47 87.78
Closest atoms and distances in Å follow each position.
Atoms (fractional coordinates):
1 Tb 0.0000 0.0000 0.0000  10 In 3.32-3.44
2 Pm 0.6130 0.1130 0.5000  10 In 3.35-3.43
3 In 0.0122 0.7177 0.2945  4 In 2.89-3.04
4 In 0.1905 0.4001 0.7904  4 In 2.89-3.10
5 In 0.4232 0.7177 0.7055  4 In 2.89-3.04
6 In 0.6097 0.4001 0.2096  4 In 2.89-3.10

***

How far above the most stable structure does each one sit? In meV per atom: w) 59; x) 0.